8
Lattice="8.8941 0.0000 0.0000 0.0000 8.8941 0.0000 0.0000 0.0000 4.1633" Properties=species:S:1:pos:R:3 comment="SrLiCa6 PBE relaxed" relative_energy_mev_per_atom=0 n_ef_per_ev_fu=8.9 e_form_ev_per_atom=0.022 crystal_system=tetragonal pbc="T T T"
Sr 0.0000 0.0000 0.0000
Li 4.4470 4.4470 0.0000
Ca 0.0000 4.4470 0.0000
Ca 2.4710 2.4710 2.0817
Ca 2.4710 6.4231 2.0817
Ca 4.4470 0.0000 0.0000
Ca 6.4231 2.4710 2.0817
Ca 6.4231 6.4231 2.0817